Here is a relaxed Zn5Ru crystal from the Alexandria database. Energies are from PBE.

The structure in POSCAR format:
```
Zn5Ru
1.0
4.9165 0.0000 0.0000
-2.4583 4.2578 0.0000
0.0000 0.0000 4.2441
Zn Ru
5 1
direct
0.0000 0.5000 0.0000 Zn
0.3333 0.6667 0.5000 Zn
0.5000 0.0000 0.0000 Zn
0.5000 0.5000 0.0000 Zn
0.6667 0.3333 0.5000 Zn
0.0000 0.0000 0.5000 Ru
```

Crystal system: hexagonal
Energy relative to the elements: 0.237 eV/atom
Total magnetic moment: 0.99 Bohr magnetons per cell
Electronic total energy: -2.370 eV/atom
SG: P6/mmm, No. 191

---

Here is a relaxed Zn7Ru crystal from the Alexandria database. Energies are from PBE.

The structure in POSCAR format:
```
Zn7Ru
1.0
0.0000 3.8572 3.8572
3.8572 0.0000 3.8572
3.8572 3.8572 0.0000
Zn Ru
7 1
direct
0.0000 0.0000 0.0000 Zn
0.0000 0.0000 0.5000 Zn
0.0000 0.5000 0.0000 Zn
0.0000 0.5000 0.5000 Zn
0.5000 0.0000 0.0000 Zn
0.5000 0.0000 0.5000 Zn
0.5000 0.5000 0.0000 Zn
0.5000 0.5000 0.5000 Ru
```

Crystal system: cubic
Energy relative to the elements: -0.071 eV/atom
Total magnetic moment: 0.00 Bohr magnetons per cell
Electronic total energy: -2.345 eV/atom
SG: Fm-3m, No. 225

---

Here is a relaxed ZnRu crystal from the Alexandria database. Energies are from PBE.

The structure in POSCAR format:
```
ZnRu
1.0
4.9804 -1.4027 0.0000
4.9804 1.4027 0.0000
-1.6000 0.0000 6.0129
Zn Ru
3 3
direct
0.0000 0.0000 0.0000 Zn
0.0466 0.0466 0.6092 Zn
0.3852 0.3852 0.2703 Zn
0.3240 0.3240 0.6650 Ru
0.6665 0.6665 0.3383 Ru
0.7217 0.7217 0.9442 Ru
```

Crystal system: monoclinic
Energy relative to the elements: 0.031 eV/atom
Total magnetic moment: 0.00 Bohr magnetons per cell
Electronic total energy: -5.243 eV/atom
SG: Cm, No. 8

---

Here is a relaxed Zn5Ru crystal from the Alexandria database. Energies are from PBE.

The structure in POSCAR format:
```
Zn5Ru
1.0
1.8486 -5.8932 0.0000
1.8486 5.8932 0.0000
0.0000 0.0000 3.9116
Zn Ru
5 1
direct
0.0000 0.0000 0.0000 Zn
0.1641 0.8359 0.5000 Zn
0.3354 0.6646 0.0000 Zn
0.6646 0.3354 0.0000 Zn
0.8359 0.1641 0.5000 Zn
0.5000 0.5000 0.5000 Ru
```

Crystal system: orthorhombic
Energy relative to the elements: -0.071 eV/atom
Total magnetic moment: 0.00 Bohr magnetons per cell
Electronic total energy: -2.679 eV/atom
SG: Cmmm, No. 65

---

Here is a relaxed Zn3Ru crystal from the Alexandria database. Energies are from PBE.

The structure in POSCAR format:
```
Zn3Ru
1.0
4.7849 0.0000 0.0000
0.0000 8.7439 0.0000
0.0000 0.0000 5.4422
Zn Ru
12 4
direct
0.0845 0.2500 0.1281 Zn
0.2378 0.5051 0.3786 Zn
0.2378 0.9949 0.3786 Zn
0.2622 0.0051 0.8786 Zn
0.2622 0.4949 0.8786 Zn
0.4155 0.7500 0.6281 Zn
0.5845 0.2500 0.3719 Zn
0.7378 0.5051 0.1214 Zn
0.7378 0.9949 0.1214 Zn
0.7622 0.0051 0.6214 Zn
0.7622 0.4949 0.6214 Zn
0.9155 0.7500 0.8719 Zn
0.1037 0.2500 0.6262 Ru
0.3963 0.7500 0.1262 Ru
0.6037 0.2500 0.8738 Ru
0.8963 0.7500 0.3738 Ru
```

Crystal system: orthorhombic
Energy relative to the elements: -0.031 eV/atom
Total magnetic moment: 0.00 Bohr magnetons per cell
Electronic total energy: -3.305 eV/atom
SG: Pnma, No. 62

---

Here is a relaxed Zn5Ru crystal from the Alexandria database. Energies are from PBE.

The structure in POSCAR format:
```
Zn5Ru
1.0
4.3120 0.0000 0.0000
0.0000 1.3992 7.2968
0.0000 -1.3992 7.2968
Zn Ru
5 1
direct
0.0000 0.0000 0.0000 Zn
0.0000 0.3142 0.3142 Zn
0.5000 0.2074 0.2074 Zn
0.5000 0.5501 0.5501 Zn
0.5000 0.8805 0.8805 Zn
0.0000 0.6558 0.6558 Ru
```

Crystal system: orthorhombic
Energy relative to the elements: -0.009 eV/atom
Total magnetic moment: 0.62 Bohr magnetons per cell
Electronic total energy: -2.617 eV/atom
SG: Amm2, No. 38

---

Here is a relaxed Zn7Ru6 crystal from the Alexandria database. Energies are from PBE.

The structure in POSCAR format:
```
Zn7Ru6
1.0
2.4074 1.3899 8.9025
-2.4074 1.3899 8.9025
0.0000 -2.7798 8.9025
Zn Ru
7 6
direct
0.0000 0.0000 0.0000 Zn
0.0901 0.0901 0.5853 Zn
0.0901 0.5853 0.0901 Zn
0.4147 0.9099 0.9099 Zn
0.5853 0.0901 0.0901 Zn
0.9099 0.4147 0.9099 Zn
0.9099 0.9099 0.4147 Zn
0.1668 0.1668 0.1668 Ru
0.3503 0.3503 0.3503 Ru
0.4558 0.4558 0.4558 Ru
0.5442 0.5442 0.5442 Ru
0.6497 0.6497 0.6497 Ru
0.8332 0.8332 0.8332 Ru
```

Crystal system: trigonal
Energy relative to the elements: 0.141 eV/atom
Total magnetic moment: 2.29 Bohr magnetons per cell
Electronic total energy: -4.826 eV/atom
SG: R-3m, No. 166

---

Here is a relaxed Zn2Ru crystal from the Alexandria database. Energies are from PBE.

The structure in POSCAR format:
```
Zn2Ru
1.0
0.0000 2.9402 2.9402
2.9402 0.0000 2.9402
2.9402 2.9402 0.0000
Zn Ru
2 1
direct
0.2500 0.2500 0.2500 Zn
0.7500 0.7500 0.7500 Zn
0.0000 0.0000 0.0000 Ru
```

Crystal system: cubic
Energy relative to the elements: 0.381 eV/atom
Total magnetic moment: 0.00 Bohr magnetons per cell
Electronic total energy: -3.560 eV/atom
SG: Fm-3m, No. 225